Density functional theory data (GGA-PBE) for crystalline K2YTc at its relaxed geometry.

a = 5.746 Å, b = 5.746 Å, c = 5.746 Å
α = 60.00°, β = 60.00°, γ = 60.00°
Site moments in Bohr magnetons follow the coordinates.
Positions (direct):
Y1 0.000 0.000 0.000  -0.51
K1 0.250 0.250 0.250  -0.02
K2 0.750 0.750 0.750  -0.02
Tc1 0.500 0.500 0.500  2.64

Output
- N(E_F) (states/eV/atom) = 0.603
- ΔH_f (0 K) (eV/atom) = 1.472
- offset from the most stable computed form (meV per atom) = 869.1

Density functional theory data (GGA-PBE) for crystalline Ca2Ho4Pb3O2 at its relaxed geometry.

a = 4.713 Å, b = 4.713 Å, c = 13.087 Å
α = 100.37°, β = 100.37°, γ = 90.00°
Positions (direct):
Ca1 0.305 0.305 0.609
Ca2 0.695 0.695 0.391
Ho1 0.414 0.914 0.829
Ho2 0.914 0.414 0.829
Ho3 0.086 0.586 0.171
Ho4 0.586 0.086 0.171
Pb1 0.000 0.000 0.000
Pb2 0.174 0.174 0.348
Pb3 0.826 0.826 0.652
O1 0.406 0.406 0.812
O2 0.594 0.594 0.188

Output
- total DFT energy (no corrections) (eV/cell) = -58.99
- N(E_F) (states/eV/atom) = 0.173

Density functional theory data (GGA-PBE) for crystalline ScP3Ir at its relaxed geometry.

a = 4.650 Å, b = 4.650 Å, c = 4.650 Å
α = 90.00°, β = 90.00°, γ = 90.00°
Positions (direct):
Sc1 0.500 0.500 0.500
P1 0.000 0.500 0.000
P2 0.000 0.000 0.500
P3 0.500 0.000 0.000
Ir1 0.000 0.000 0.000

Output
- N(E_F) (states/eV/atom) = 1.592
- ΔH_f (0 K) (eV/atom) = 0.331
- offset from the most stable computed form (meV per atom) = 0.0

Density functional theory data (GGA-PBE) for crystalline Li2InWS at its relaxed geometry.

a = 4.238 Å, b = 5.972 Å, c = 4.238 Å
α = 90.00°, β = 90.00°, γ = 90.00°
Site moments in Bohr magnetons follow the coordinates.
Positions (direct):
S1 0.000 0.000 0.000  0.08
Li1 0.000 0.000 0.500  0.00
Li2 0.500 0.000 0.000  0.01
W1 0.500 0.500 0.500  2.12
In1 0.000 0.500 0.000  -0.06

Output
- total DFT energy (no corrections) (eV/cell) = -21.18
- N(E_F) (states/eV/atom) = 0.169

Density functional theory data (GGA-PBE) for crystalline CrFe2Ag at its relaxed geometry.

a = 4.678 Å, b = 4.678 Å, c = 4.678 Å
α = 132.70°, β = 132.82°, γ = 69.03°
Site moments in Bohr magnetons follow the coordinates.
Positions (direct):
Ag1 0.750 0.250 0.500  0.00
Cr1 0.250 0.750 0.500  -2.76
Fe1 0.000 0.000 0.000  2.48
Fe2 0.500 0.500 0.000  2.48

Output
- N(E_F) (states/eV/atom) = 0.909
- ΔH_f (0 K) (eV/atom) = 0.381
- offset from the most stable computed form (meV per atom) = 59.7

Density functional theory data (GGA-PBE) for crystalline Cs4PuSn3I12 at its relaxed geometry.

a = 10.925 Å, b = 10.925 Å, c = 10.925 Å
α = 109.47°, β = 109.47°, γ = 109.47°
Site moments in Bohr magnetons follow the coordinates.
Positions (direct):
Cs1 0.500 0.500 0.500  0.00
Cs2 0.000 0.000 0.500  0.00
Cs3 0.500 0.000 0.000  0.00
Cs4 0.000 0.500 0.000  0.00
Pu1 0.000 0.000 0.000  5.59
Sn1 0.500 0.000 0.500  0.02
Sn2 0.500 0.500 0.000  0.02
Sn3 0.000 0.500 0.500  0.02
I1 0.250 0.500 0.750  0.00
I2 0.751 0.000 0.751  -0.01
I3 0.249 0.000 0.249  -0.01
I4 0.750 0.500 0.250  0.00
I5 0.751 0.751 0.000  -0.01
I6 0.249 0.249 0.000  -0.01
I7 0.750 0.250 0.500  0.00
I8 0.250 0.750 0.500  0.00
I9 0.500 0.250 0.750  0.00
I10 0.000 0.751 0.751  -0.01
I11 0.500 0.750 0.250  0.00
I12 0.000 0.249 0.249  -0.01

Output
- total DFT energy (no corrections) (eV/cell) = -68.43
- N(E_F) (states/eV/atom) = 1.179

Density functional theory data (GGA-PBE) for crystalline Ho6Sc2Tl at its relaxed geometry.

a = 4.789 Å, b = 10.355 Å, c = 10.355 Å
α = 89.99°, β = 90.00°, γ = 90.00°
Positions (direct):
Ho1 0.000 0.998 0.168
Ho2 0.000 0.668 0.498
Ho3 0.000 0.662 0.838
Ho4 0.500 0.162 0.662
Ho5 0.500 0.168 0.002
Ho6 0.500 0.498 0.332
Ho7 0.000 0.002 0.832
Ho8 0.000 0.332 0.502
Ho9 0.000 0.338 0.162
Ho10 0.500 0.838 0.338
Ho11 0.500 0.832 0.998
Ho12 0.500 0.502 0.668
Sc1 0.000 0.336 0.836
Sc2 0.500 0.836 0.663
Sc3 0.500 0.164 0.337
Sc4 0.000 0.664 0.164
Tl1 0.500 0.500 0.000
Tl2 0.000 0.000 0.500

Output
- N(E_F) (states/eV/atom) = 1.553
- ΔH_f (0 K) (eV/atom) = -0.028

Density functional theory data (GGA-PBE) for crystalline Zr4GaOs3 at its relaxed geometry.

a = 3.304 Å, b = 4.675 Å, c = 9.357 Å
α = 90.00°, β = 90.00°, γ = 90.00°
Positions (direct):
Os1 0.500 0.000 0.249
Os2 0.500 0.500 0.500
Os3 0.500 0.000 0.751
Ga1 0.500 0.500 0.000
Zr1 0.000 0.000 0.500
Zr2 0.000 0.500 0.744
Zr3 0.000 0.000 0.000
Zr4 0.000 0.500 0.256

Output
- N(E_F) (states/eV/atom) = 0.466
- ΔH_f (0 K) (eV/atom) = -0.477

Repeat the sixth record exactly.
Density functional theory data (GGA-PBE) for crystalline Cs4PuSn3I12 at its relaxed geometry.

a = 10.925 Å, b = 10.925 Å, c = 10.925 Å
α = 109.47°, β = 109.47°, γ = 109.47°
Site moments in Bohr magnetons follow the coordinates.
Positions (direct):
Cs1 0.500 0.500 0.500  0.00
Cs2 0.000 0.000 0.500  0.00
Cs3 0.500 0.000 0.000  0.00
Cs4 0.000 0.500 0.000  0.00
Pu1 0.000 0.000 0.000  5.59
Sn1 0.500 0.000 0.500  0.02
Sn2 0.500 0.500 0.000  0.02
Sn3 0.000 0.500 0.500  0.02
I1 0.250 0.500 0.750  0.00
I2 0.751 0.000 0.751  -0.01
I3 0.249 0.000 0.249  -0.01
I4 0.750 0.500 0.250  0.00
I5 0.751 0.751 0.000  -0.01
I6 0.249 0.249 0.000  -0.01
I7 0.750 0.250 0.500  0.00
I8 0.250 0.750 0.500  0.00
I9 0.500 0.250 0.750  0.00
I10 0.000 0.751 0.751  -0.01
I11 0.500 0.750 0.250  0.00
I12 0.000 0.249 0.249  -0.01

Output
- total DFT energy (no corrections) (eV/cell) = -68.43
- N(E_F) (states/eV/atom) = 1.179